i:
Here is a geometry-optimized ZnTePdI structure from the Alexandria database. Energies are from PBE-GGA.

Unit cell a=7.4654 b=4.1072 c=7.4622 alpha=90.00 beta=95.44 gamma=90.00
Last column: nearest neighbours and their distance in Å.
Space group Cm (No. 8)
Symmetry-distinct sites (fractional):
Zn  0.0000  0.0000  0.0000  3 Pd 2.58-2.64, 2 I 2.81
Te  0.3161  0.0000  0.7157  3 Pd 2.65-2.77
Pd  0.1677  0.5000  0.8704  3 Zn 2.58-2.64, 3 Te 2.65-2.77, 1 I 2.88
I  0.1034  0.5000  0.2452  2 Zn 2.81, 1 Pd 2.88

The volume comes out at 28.5 A^3/atom.

---

ii:
Here is a geometry-optimized ZnTePdI structure from the Alexandria database. Energies are from PBE-GGA.

Unit cell a=8.4792 b=4.0661 c=7.8237 alpha=90.00 beta=122.62 gamma=90.00
Last column: nearest neighbours and their distance in Å.
Space group Cm (No. 8)
Symmetry-distinct sites (fractional):
Zn  0.0000  0.0000  0.0000  1 Pd 2.65, 3 Te 2.69-2.76, 1 I 2.70
Te  0.3636  0.0000  0.1232  3 Zn 2.69-2.76, 2 Pd 2.72
Pd  0.0742  0.0000  0.3755  1 Zn 2.65, 2 Te 2.72, 2 I 2.82
I  0.3391  0.5000  0.5932  1 Zn 2.70, 2 Pd 2.82

The volume comes out at 28.4 A^3/atom.

---

Result of the stability comparison: i is the most stable of them.

---

i:
Here is a geometry-optimized ZnTePdI structure from the Alexandria database. Energies are from PBE-GGA.

Unit cell a=4.3984 b=4.3426 c=5.8355 alpha=90.00 beta=91.80 gamma=90.00
Last column: nearest neighbours and their distance in Å.
Space group Pm (No. 6)
Symmetry-distinct sites (fractional):
Zn  0.0000  0.0000  0.0000  2 Pd 2.62, 2 Te 2.70, 1 I 2.85
Te  0.6373  0.5000  0.0285  2 Pd 2.64-2.68, 2 Zn 2.70
Pd  0.1323  0.5000  0.7711  2 Zn 2.62, 2 Te 2.64-2.68, 2 I 2.83
I  0.2115  0.0000  0.4665  2 Pd 2.83, 1 Zn 2.85

The volume comes out at 27.9 A^3/atom.

---

ii:
Here is a geometry-optimized ZnTePdI structure from the Alexandria database. Energies are from PBE-GGA.

Unit cell a=17.7291 b=4.1526 c=3.0743 alpha=90.00 beta=99.49 gamma=90.00
Last column: nearest neighbours and their distance in Å.
Space group Cm (No. 8)
Symmetry-distinct sites (fractional):
Zn  0.0000  0.0000  0.0000  4 Pd 2.61
Te  0.3736  0.0000  0.3794  1 Pd 2.59
Pd  0.0220  0.5000  0.5207  1 Te 2.59, 4 Zn 2.61, 1 I 2.67
I  0.1748  0.5000  0.6652  1 Pd 2.67

The volume comes out at 27.9 A^3/atom.

---

Result of the stability comparison: i is the most stable of them.

---

i:
Here is a geometry-optimized ZnTePdI structure from the Alexandria database. Energies are from PBE-GGA.

Unit cell a=4.1290 b=4.3969 c=8.1738 alpha=94.62 beta=92.83 gamma=116.98
Last column: nearest neighbours and their distance in Å.
Space group P1 (No. 1)
Symmetry-distinct sites (fractional):
Zn  0.0000  0.0000  0.0000  2 I 2.63-2.73, 1 Te 2.63, 2 Pd 2.72-2.89
Te  0.8158  0.9352  0.3039  3 Pd 2.59-2.64, 1 Zn 2.63
Pd  0.1245  0.5594  0.2119  3 Te 2.59-2.64, 2 Zn 2.72-2.89
I  0.4546  0.9815  0.7905  2 Zn 2.63-2.73

The volume comes out at 32.8 A^3/atom.

---

ii:
Here is a geometry-optimized ZnTePdI structure from the Alexandria database. Energies are from PBE-GGA.

Unit cell a=3.9669 b=3.9249 c=7.3881 alpha=90.00 beta=90.12 gamma=90.00
Last column: nearest neighbours and their distance in Å.
Space group Pm (No. 6)
Symmetry-distinct sites (fractional):
Zn  0.0000  0.0000  0.0000  2 I 2.66, 2 Pd 2.69, 2 Te 2.85-2.86
Te  0.5032  0.0000  0.2779  4 Pd 2.80, 2 Zn 2.85-2.86
Pd  0.0035  0.5000  0.2480  2 Zn 2.69, 4 Te 2.80
I  0.0004  0.5000  0.7566  2 Zn 2.66

The volume comes out at 28.8 A^3/atom.

---

iii:
Here is a geometry-optimized ZnTePdI structure from the Alexandria database. Energies are from PBE-GGA.

Unit cell a=15.6603 b=3.8980 c=3.8926 alpha=90.00 beta=93.78 gamma=90.00
Last column: nearest neighbours and their distance in Å.
Space group Cm (No. 8)
Symmetry-distinct sites (fractional):
Zn  0.0000  0.0000  0.0000  2 I 2.60-2.71, 1 Te 2.64, 2 Pd 2.79
Te  0.3499  0.5000  0.2706  1 Zn 2.64, 4 Pd 2.77-2.82
Pd  0.3802  0.0000  0.7876  4 Te 2.77-2.82, 2 Zn 2.79
I  0.1154  0.0000  0.5494  2 Zn 2.60-2.71

The volume comes out at 29.6 A^3/atom.

---

iv:
Here is a geometry-optimized ZnTePdI structure from the Alexandria database. Energies are from PBE-GGA.

Unit cell a=7.9522 b=4.0270 c=7.1603 alpha=90.00 beta=100.34 gamma=90.00
Last column: nearest neighbours and their distance in Å.
Space group Cm (No. 8)
Symmetry-distinct sites (fractional):
Zn  0.0000  0.0000  0.0000  3 Te 2.64-2.75, 1 I 2.70
Te  0.2197  0.5000  0.1500  3 Zn 2.64-2.75, 2 Pd 2.73
Pd  0.3138  0.0000  0.4039  2 Te 2.73, 2 I 2.77
I  0.4910  0.5000  0.6217  1 Zn 2.70, 2 Pd 2.77

The volume comes out at 28.2 A^3/atom.

---

Result of the stability comparison: i is the most stable of them.